No. 1
# LaCe2Hg3 (PBE, optimized geometry)
data_LaCe2Hg3
_space_group_name_H-M_alt 'P 4/m m m'
_space_group_IT_number 123
_space_group_name_Hall '-P 4 2'
_cell_length_a 3.8720
_cell_length_b 3.8720
_cell_length_c 11.4686
_cell_angle_alpha 90.00
_cell_angle_beta 90.00
_cell_angle_gamma 90.00
loop_
_atom_site_label
_atom_site_type_symbol
_atom_site_fract_x
_atom_site_fract_y
_atom_site_fract_z
_atom_site_occupancy
La1 La 0.0000 0.0000 0.0000 1
Ce1 Ce 0.0000 0.0000 0.3371 1
Hg1 Hg 0.5000 0.5000 0.1735 1
Hg2 Hg 0.5000 0.5000 0.5000 1
# DOS(E_F) ... 19.76 states/eV per cell
# Crystal system ... tetragonal
# E_form ... -0.35 eV per atom
# Total energy ... -3.304 eV per atom

No. 2
# MnIrRu2 (PBE, optimized geometry)
data_MnIrRu2
_space_group_name_H-M_alt 'P 4/m m m'
_space_group_IT_number 123
_space_group_name_Hall '-P 4 2'
_cell_length_a 3.7821
_cell_length_b 3.7821
_cell_length_c 3.8142
_cell_angle_alpha 90.00
_cell_angle_beta 90.00
_cell_angle_gamma 90.00
loop_
_atom_site_label
_atom_site_type_symbol
_atom_site_fract_x
_atom_site_fract_y
_atom_site_fract_z
_atom_site_occupancy
Mn1 Mn 0.0000 0.0000 0.0000 1
Ir1 Ir 0.5000 0.5000 0.0000 1
Ru1 Ru 0.0000 0.5000 0.5000 1
# DOS(E_F) ... 2.89 states/eV per cell
# Crystal system ... tetragonal
# E_form ... -0.05 eV per atom
# Total energy ... -9.194 eV per atom

No. 3
# YPtBr2O (PBE, optimized geometry)
data_YPtBr2O
_space_group_name_H-M_alt 'P 4/m m m'
_space_group_IT_number 123
_space_group_name_Hall '-P 4 2'
_cell_length_a 5.5209
_cell_length_b 5.5209
_cell_length_c 3.8086
_cell_angle_alpha 90.00
_cell_angle_beta 90.00
_cell_angle_gamma 90.00
loop_
_atom_site_label
_atom_site_type_symbol
_atom_site_fract_x
_atom_site_fract_y
_atom_site_fract_z
_atom_site_occupancy
Y1 Y 0.0000 0.0000 0.0000 1
Pt1 Pt 0.5000 0.5000 0.5000 1
Br1 Br 0.0000 0.5000 0.5000 1
O1 O 0.5000 0.5000 0.0000 1
# DOS(E_F) ... 4.83 states/eV per cell
# Crystal system ... tetragonal
# Total energy ... -4.574 eV per atom
# Formation energy from raw total energies ... -412 meV per atom

No. 4
# Pm2PuO5 (PBE, optimized geometry)
data_Pm2PuO5
_space_group_name_H-M_alt 'C 1 2/c 1'
_space_group_IT_number 15
_space_group_name_Hall '-C 2yc'
_cell_length_a 12.3648
_cell_length_b 5.8186
_cell_length_c 7.9953
_cell_angle_alpha 90.00
_cell_angle_beta 113.47
_cell_angle_gamma 90.00
loop_
_atom_site_label
_atom_site_type_symbol
_atom_site_fract_x
_atom_site_fract_y
_atom_site_fract_z
_atom_site_occupancy
Pm1 Pm 0.1412 0.0076 0.2553 1
Pu1 Pu 0.0000 0.5000 0.0000 1
O1 O 0.0000 0.3058 0.2500 1
O2 O 0.0760 0.1711 0.9593 1
O3 O 0.1752 0.3376 0.6465 1
# DOS(E_F) ... 4.19 states/eV per cell
# Crystal system ... monoclinic
# Total energy ... -9.309 eV per atom
# Formation energy from raw total energies ... -3230 meV per atom

No. 5
# NiTeAs2C (PBE, optimized geometry)
data_NiTeAs2C
_space_group_name_H-M_alt 'P 4/m m m'
_space_group_IT_number 123
_space_group_name_Hall '-P 4 2'
_cell_length_a 5.2989
_cell_length_b 5.2989
_cell_length_c 4.0532
_cell_angle_alpha 90.00
_cell_angle_beta 90.00
_cell_angle_gamma 90.00
loop_
_atom_site_label
_atom_site_type_symbol
_atom_site_fract_x
_atom_site_fract_y
_atom_site_fract_z
_atom_site_occupancy
Ni1 Ni 0.0000 0.0000 0.0000 1
Te1 Te 0.5000 0.5000 0.5000 1
As1 As 0.0000 0.5000 0.5000 1
C1 C 0.5000 0.5000 0.0000 1
# DOS(E_F) ... 4.58 states/eV per cell
# Crystal system ... tetragonal
# Total energy ... -3.490 eV per atom
# Formation energy from raw total energies ... 1999 meV per atom

No. 6
# SrTb4TmSe8 (PBE, optimized geometry)
data_SrTb4TmSe8
_space_group_name_H-M_alt 'R 3 m'
_space_group_IT_number 160
_space_group_name_Hall 'R 3 -2"'
_cell_length_a 8.5515
_cell_length_b 8.5515
_cell_length_c 20.8299
_cell_angle_alpha 90.00
_cell_angle_beta 90.00
_cell_angle_gamma 120.00
loop_
_atom_site_label
_atom_site_type_symbol
_atom_site_fract_x
_atom_site_fract_y
_atom_site_fract_z
_atom_site_occupancy
Sr1 Sr 0.0000 0.0000 0.0000 1
Tb1 Tb 0.0000 0.0000 0.2488 1
Tb2 Tb 0.1692 0.3384 0.4569 1
Tm1 Tm 0.0000 0.0000 0.6260 1
Se1 Se 0.0000 0.0000 0.3815 1
Se2 Se 0.0000 0.0000 0.8612 1
Se3 Se 0.0383 0.5191 0.3770 1
Se4 Se 0.1783 0.3567 0.2063 1
# DOS(E_F) ... 12.10 states/eV per cell
# Crystal system ... trigonal
# Total energy ... -5.546 eV per atom
# Formation energy from raw total energies ... -1793 meV per atom

No. 7
# YPbN2F (PBE, optimized geometry)
data_YPbN2F
_space_group_name_H-M_alt 'P 4/m m m'
_space_group_IT_number 123
_space_group_name_Hall '-P 4 2'
_cell_length_a 4.6541
_cell_length_b 4.6541
_cell_length_c 4.3673
_cell_angle_alpha 90.00
_cell_angle_beta 90.00
_cell_angle_gamma 90.00
loop_
_atom_site_label
_atom_site_type_symbol
_atom_site_fract_x
_atom_site_fract_y
_atom_site_fract_z
_atom_site_occupancy
Y1 Y 0.0000 0.0000 0.0000 1
Pb1 Pb 0.5000 0.5000 0.5000 1
N1 N 0.0000 0.5000 0.0000 1
F1 F 0.0000 0.0000 0.5000 1
# DOS(E_F) ... 2.50 states/eV per cell
# Crystal system ... tetragonal
# Total energy ... -6.237 eV per atom
# Formation energy from raw total energies ... -498 meV per atom

No. 8
# YNi2W (PBE, optimized geometry)
data_YNi2W
_space_group_name_H-M_alt 'P 1 m 1'
_space_group_IT_number 6
_space_group_name_Hall 'P -2y'
_cell_length_a 3.1832
_cell_length_b 4.1927
_cell_length_c 5.0018
_cell_angle_alpha 90.00
_cell_angle_beta 101.32
_cell_angle_gamma 90.00
loop_
_atom_site_label
_atom_site_type_symbol
_atom_site_fract_x
_atom_site_fract_y
_atom_site_fract_z
_atom_site_occupancy
Y1 Y 0.0000 0.0000 0.0000 1
Ni1 Ni 0.5685 0.5000 0.1680 1
Ni2 Ni 0.6030 0.0000 0.4800 1
W1 W 0.2555 0.5000 0.5760 1
# DOS(E_F) ... 3.56 states/eV per cell
# Crystal system ... monoclinic
# E_form ... 0.07 eV per atom
# Total energy ... -7.670 eV per atom